No. 1
A plane-wave DFT calculation with PBE was carried out for a relaxed structure of Pm2GaCu2Ni5.

a b c (Å): 9.121 9.121 3.659
angles (deg): 90.00 90.00 90.00
Element x y z (fractional)
Pm (0.180, 0.320, 0.000)
Pm (0.320, 0.820, 0.000)
Pm (0.680, 0.180, 0.000)
Pm (0.820, 0.680, 0.000)
Ga (0.000, 0.000, 0.000)
Ga (0.500, 0.500, 0.000)
Cu (0.117, 0.617, 0.000)
Cu (0.383, 0.117, 0.000)
Cu (0.617, 0.883, 0.000)
Cu (0.883, 0.383, 0.000)
Ni (0.000, 0.500, 0.500)
Ni (0.057, 0.797, 0.500)
Ni (0.203, 0.057, 0.500)
Ni (0.297, 0.557, 0.500)
Ni (0.443, 0.297, 0.500)
Ni (0.500, 0.000, 0.500)
Ni (0.557, 0.703, 0.500)
Ni (0.703, 0.443, 0.500)
Ni (0.797, 0.943, 0.500)
Ni (0.943, 0.203, 0.500)

Results
Space-group type: P4/mbm (127)



No. 2
A plane-wave DFT calculation with PBE was carried out for a relaxed structure of PmGaCuNi.

a b c (Å): 4.597 4.597 4.597
angles (deg): 60.00 60.00 60.00
Element x y z (fractional)
Pm (0.000, 0.000, 0.000)
Ga (0.500, 0.500, 0.500)
Cu (0.750, 0.750, 0.750)
Ni (0.250, 0.250, 0.250)

Results
Space-group type: F-43m (216)



No. 3
A plane-wave DFT calculation with PBE was carried out for a relaxed structure of PmGaCuNi.

a b c (Å): 4.233 4.233 5.301
angles (deg): 113.55 113.55 59.86
Element x y z (fractional)
Pm (0.000, 0.000, 0.000)
Ga (0.514, 0.514, 0.541)
Cu (0.798, 0.798, 0.394)
Ni (0.199, 0.199, 0.595)

Results
Space-group type: Cm (8)



No. 4
A plane-wave DFT calculation with PBE was carried out for a relaxed structure of PmGaCuNi3.

a b c (Å): 6.716 6.716 5.699
angles (deg): 90.00 90.00 133.52
Element x y z (fractional)
Pm (0.188, 0.812, 0.750)
Pm (0.812, 0.188, 0.250)
Ga (0.132, 0.868, 0.250)
Ga (0.868, 0.132, 0.750)
Cu (0.400, 0.600, 0.750)
Cu (0.600, 0.400, 0.250)
Ni (0.235, 0.235, 0.000)
Ni (0.235, 0.235, 0.500)
Ni (0.361, 0.639, 0.250)
Ni (0.639, 0.361, 0.750)
Ni (0.765, 0.765, 0.000)
Ni (0.765, 0.765, 0.500)

Results
Space-group type: Cmcm (63)



No. 5
A plane-wave DFT calculation with PBE was carried out for a relaxed structure of Pm2Ga3CuNi4.

a b c (Å): 4.104 4.104 9.923
angles (deg): 90.00 90.00 90.00
Element x y z (fractional)
Pm (0.000, 0.500, 0.250)
Pm (0.500, 0.000, 0.750)
Ga (0.000, 0.000, 0.000)
Ga (0.000, 0.500, 0.626)
Ga (0.500, 0.000, 0.374)
Cu (0.500, 0.500, 0.000)
Ni (0.000, 0.000, 0.500)
Ni (0.000, 0.500, 0.867)
Ni (0.500, 0.000, 0.133)
Ni (0.500, 0.500, 0.500)

Results
Space-group type: P-4m2 (115)



No. 6
A plane-wave DFT calculation with PBE was carried out for a relaxed structure of Pm2Ga2CuNi5.

a b c (Å): 9.803 9.803 3.272
angles (deg): 90.00 90.00 90.00
Element x y z (fractional)
Pm (0.175, 0.325, 0.000)
Pm (0.325, 0.825, 0.000)
Pm (0.675, 0.175, 0.000)
Pm (0.825, 0.675, 0.000)
Ga (0.125, 0.625, 0.000)
Ga (0.375, 0.125, 0.000)
Ga (0.625, 0.875, 0.000)
Ga (0.875, 0.375, 0.000)
Cu (0.000, 0.000, 0.000)
Cu (0.500, 0.500, 0.000)
Ni (0.000, 0.500, 0.500)
Ni (0.054, 0.807, 0.500)
Ni (0.193, 0.054, 0.500)
Ni (0.307, 0.554, 0.500)
Ni (0.446, 0.307, 0.500)
Ni (0.500, 0.000, 0.500)
Ni (0.554, 0.693, 0.500)
Ni (0.693, 0.446, 0.500)
Ni (0.807, 0.946, 0.500)
Ni (0.946, 0.193, 0.500)

Results
Space-group type: P4/mbm (127)



No. 7
A plane-wave DFT calculation with PBE was carried out for a relaxed structure of PmGa4Cu2Ni.

a b c (Å): 9.104 9.104 9.104
angles (deg): 26.42 26.42 26.42
Element x y z (fractional)
Pm (0.000, 0.000, 0.000)
Ga (0.132, 0.132, 0.132)
Ga (0.404, 0.404, 0.404)
Ga (0.596, 0.596, 0.596)
Ga (0.868, 0.868, 0.868)
Cu (0.236, 0.236, 0.236)
Cu (0.764, 0.764, 0.764)
Ni (0.500, 0.500, 0.500)

Results
Space-group type: R-3m (166)



No. 8
A plane-wave DFT calculation with PBE was carried out for a relaxed structure of PmGaCu2Ni2.

a b c (Å): 4.367 4.367 5.530
angles (deg): 90.00 90.00 90.00
Element x y z (fractional)
Pm (0.000, 0.000, 0.000)
Ga (0.000, 0.000, 0.500)
Cu (0.500, 0.500, 0.249)
Cu (0.500, 0.500, 0.751)
Ni (0.000, 0.500, 0.500)
Ni (0.500, 0.000, 0.500)

Results
Space-group type: P4/mmm (123)



No. 9
A plane-wave DFT calculation with PBE was carried out for a relaxed structure of PrGaCu2Ni2.

a b c (Å): 4.379 4.379 5.609
angles (deg): 90.00 90.00 90.00
Element x y z (fractional)
Pr (0.000, 0.000, 0.000)
Ga (0.000, 0.000, 0.500)
Cu (0.500, 0.500, 0.255)
Cu (0.500, 0.500, 0.745)
Ni (0.000, 0.500, 0.500)
Ni (0.500, 0.000, 0.500)

Results
Space-group type: P4/mmm (123)



No. 10
A plane-wave DFT calculation with PBE was carried out for a relaxed structure of PrGa2CuNi2.

a b c (Å): 4.451 4.451 5.389
angles (deg): 90.00 90.00 90.00
Element x y z (fractional)
Pr (0.000, 0.000, 0.000)
Ga (0.500, 0.500, 0.253)
Ga (0.500, 0.500, 0.747)
Cu (0.000, 0.000, 0.500)
Ni (0.000, 0.500, 0.500)
Ni (0.500, 0.000, 0.500)

Results
Space-group type: P4/mmm (123)



No. 11
A plane-wave DFT calculation with PBE was carried out for a relaxed structure of PrGaCu2Ni.

a b c (Å): 5.945 5.945 5.945
angles (deg): 140.17 139.71 57.95
Element x y z (fractional)
Pr (0.000, 0.000, 0.000)
Ga (0.255, 0.755, 0.500)
Cu (0.617, 0.617, 0.000)
Cu (0.755, 0.255, 0.500)
Ni (0.386, 0.386, 0.000)

Results
Space-group type: Imm2 (44)



No. 12
A plane-wave DFT calculation with PBE was carried out for a relaxed structure of PrGaCuNi2.

a b c (Å): 6.023 6.023 6.023
angles (deg): 142.33 140.82 55.48
Element x y z (fractional)
Pr (0.000, 0.000, 0.000)
Ga (0.256, 0.756, 0.500)
Cu (0.621, 0.621, 0.000)
Ni (0.392, 0.392, 0.000)
Ni (0.764, 0.264, 0.500)

Results
Space-group type: Imm2 (44)



In the order shown, the computed energy of formation from the pure elements values come out to -2.339, -1.086, -1.659, -0.859, -4.758, -2.038, -2.787, 0.638, 0.621, -0.940, -1.498, -1.520 eV per formula unit.